(1)
Y3Si2Ni6 PBEsol optimized geometry; calculated density = 6.91 g/cm3; total DFT energy (no corrections) = -6.959 eV per atom
1.0
-4.330 4.330 4.330
4.330 -4.330 4.330
4.330 4.330 -4.330
Y Si Ni
6 4 12
direct
0.000 0.286 0.286
0.000 0.714 0.714
0.286 0.000 0.286
0.286 0.286 0.000
0.714 0.000 0.714
0.714 0.714 0.000
0.000 0.000 0.500
0.000 0.500 0.000
0.500 0.000 0.000
0.500 0.500 0.500
0.000 0.331 0.669
0.000 0.669 0.331
0.331 0.000 0.669
0.331 0.331 0.661
0.331 0.661 0.331
0.331 0.669 0.000
0.339 0.669 0.669
0.661 0.331 0.331
0.669 0.000 0.331
0.669 0.331 0.000
0.669 0.339 0.669
0.669 0.669 0.339

=====

(2)
Y3Si3Ni PBEsol optimized geometry; calculated density = 4.92 g/cm3; total DFT energy (no corrections) = -7.124 eV per atom
1.0
-1.952 2.048 8.647
1.952 -2.048 8.647
1.952 2.048 -8.647
Y Si Ni
3 3 1
direct
0.000 0.000 0.000
0.186 0.686 0.500
0.366 0.366 0.000
0.540 0.540 0.000
0.625 0.125 0.500
0.823 0.823 0.000
0.752 0.252 0.500

=====

Look up the total DFT energy (no corrections) of the first one. -6.959 eV per atom

=====

What is the formula in the second record? Y3Si3Ni

=====

What is the formula in the second record? Y3Si3Ni